Tb7Ga2Cu2 | PBE | optimized geometry

Cell: 7.716 10.997 6.972 Å, 90.00 90.00 90.00°
Space group Cmmm (No. 65)
Unique sites:
Tb 0.000 0.000 0.000
Tb 0.000 0.500 0.254
Tb 0.250 0.250 0.265
Ga 0.165 0.000 0.500
Cu 0.000 0.296 0.000

Summary:
**D(E_F)**: 11.24 states/eV/f.u.
**Uncorrected energy**: -95.39 eV/cell
**Density**: 7.74 g cm⁻³
**Energy relative to the elements**: -0.094 eV/atom



ZrSc3Fe8 | PBE | optimized geometry

Cell: 4.9425 4.9425 24.1480 Å, 90.00 90.00 120.00°
Space group R3m (No. 160, hexagonal axes)
Unique sites:
Zr 0.0000 0.0000 0.0000
Sc 0.0000 0.0000 0.1258
Sc 0.0000 0.0000 0.4995
Sc 0.0000 0.0000 0.6236
Fe 0.0000 0.0000 0.3121
Fe 0.0000 0.0000 0.8123
Fe 0.9996 0.4998 0.0622
Fe 0.9999 0.5000 0.5623

Summary:
**D(E_F)**: 10.25 states/eV/f.u.
**Uncorrected energy**: -295.93 eV/cell
**Density**: 6.56 g cm⁻³
**Energy relative to the elements**: -0.283 eV/atom



CeLuCdPt | PBE | optimized geometry

Cell: 7.230 7.230 7.230 Å, 90.00 90.00 90.00°
Space group F-43m (No. 216)
Unique sites:
Ce 0.000 0.000 0.000
Lu 0.000 0.000 0.500
Cd 0.250 0.250 0.250
Pt 0.250 0.250 0.750

Summary:
**D(E_F)**: 7.89 states/eV/f.u.
**Uncorrected energy**: -79.33 eV/cell
**Density**: 10.94 g cm⁻³
**Energy relative to the elements**: -0.605 eV/atom